KHg2AuBr8: relaxed, PBE.

The structure in POSCAR format:
```
KHg2AuBr8
1.0
8.2552 0.1384 0.5615
0.2709 6.8361 1.1437
0.5409 1.2764 8.8934
Br Hg K Au
8 2 1 1
Direct
0.8996 0.2503 0.7658
0.3377 0.2840 0.4819
0.1004 0.7497 0.2342
0.3829 0.2579 0.0011
0.8642 0.2085 0.1619
0.1358 0.7915 0.8381
0.6623 0.7160 0.5181
0.6171 0.7421 0.9989
0.5451 0.4951 0.7766
0.4549 0.5049 0.2234
0.0000 0.0000 0.5000
0.0000 0.0000 0.0000
```

Computed properties:
total energy = -0.077 Ha/atom
V = 487.7 Å³ per cell
mass density = 4.346 g cm⁻³
symmetry = P-1
ΔE_f (raw) = -556 meV per atom